1.
This record from OQMD via LeMat-Bulk describes a relaxed CdCoSO crystal. The functional is PBE+U.

Cell lengths 3.5129, 3.5066, 12.0299 Å; angles 90.00, 90.00, 120.06 degrees
Sites, in units of the cell vectors:
1 Co 0.3332 0.6665 0.2566
2 Co 0.6668 0.3335 0.7566
3 O 0.9997 0.9994 0.8166
4 O 0.0003 0.0006 0.3166
5 S 0.3340 0.6680 0.6218
6 S 0.6660 0.3320 0.1218
7 Cd 0.0000 0.9998 0.4928
8 Cd 0.0000 0.0002 0.9928

Properties
E   -34.298 eV for the cell shown
Energy relative to the lowest polymorph listed for this composition   454 meV per atom
Magnetic moment   3.00 μB per formula unit
Symmetry   Cmc2_1 (36)

2.
This record from OQMD via LeMat-Bulk describes a relaxed CdCoSO crystal. The functional is PBE+U.

Cell lengths 6.6815, 6.6815, 5.7202 Å; angles 90.00, 90.00, 31.53 degrees
Site moments in Bohr magnetons follow the coordinates.
Sites, in units of the cell vectors:
1 S 0.6690 0.6690 0.0017  0.08
2 S 0.3310 0.3310 0.5017  0.08
3 Co 0.9360 0.9360 0.3896  2.60
4 Co 0.0640 0.0640 0.8896  2.60
5 O 0.0684 0.0684 0.5456  0.13
6 O 0.9316 0.9316 0.0456  0.12
7 Cd 0.6668 0.6668 0.4557  0.02
8 Cd 0.3332 0.3332 0.9557  0.02

Properties
E   -35.857 eV for the cell shown
Energy relative to the lowest polymorph listed for this composition   259 meV per atom
Magnetic moment   3.00 μB per formula unit
Symmetry   Cmc2_1 (36)

> What is the energy relative to the lowest polymorph listed for this composition in the second record?

259 meV per atom